First-principles (GGA-PBE) data for an optimized crystal structure of LiSiH4, as listed in the Alexandria database.

VASP energy   -3.44 eV per atom
V   106.1 Å³/cell
Density of states at the Fermi level   0.33 states/eV per cell
Density   1.22 g/cm3

Cell lengths 5.1947, 5.1947, 5.1947 Å; angles 105.38, 105.38, 118.00 degrees
Last column: nearest neighbours and their distance in Å.
Fractional coordinates of all 12 atoms:
H  0.3513  0.5312  0.8201  1 Si 1.58
H  0.7339  0.9979  0.2640  1 Si 1.66
H  0.2812  0.9611  0.6799  1 Si 1.58
H  0.2199  0.9839  0.2360  1 Si 1.66
H  0.7111  0.5312  0.1799  1 Si 1.58
H  0.7339  0.4699  0.7360  1 Si 1.66
Li  0.2323  0.2323  0.0000  6 H 1.96-2.03
H  0.2812  0.6013  0.3201  1 Si 1.58
Si  0.4875  0.9875  0.5000  4 H 1.58-1.66
Si  0.7375  0.7375  0.0000  4 H 1.58-1.66
Li  0.9823  0.4823  0.5000  6 H 1.96-2.03
H  0.7479  0.9839  0.7640  1 Si 1.66